First-principles (PBE) data for a geometry-optimized AcPdAu structure, as listed in Alexandria.

a = 4.8897 Å, b = 4.8897 Å, c = 4.8897 Å
α = 60.00°, β = 60.00°, γ = 60.00°
Closest atoms and distances in Å follow each position.
Fractional positions:
Ac 0.0000 0.0000 0.0000  4 Pd 2.99
Pd 0.7500 0.7500 0.7500  4 Au 2.99, 4 Ac 2.99
Au 0.5000 0.5000 0.5000  4 Pd 2.99

Results
Excess energy over the best structure of this formula in the dataset ... 0.305 eV/f.u.
SG ... F-43m, No. 216
Formation energy ... -0.724 eV per atom
Electronic total energy ... -4.92 eV per atom

First-principles (PBE) data for a geometry-optimized Ac8PdAu2 structure, as listed in Alexandria.

a = 10.1935 Å, b = 10.1935 Å, c = 10.0518 Å
α = 93.33°, β = 93.33°, γ = 23.69°
Closest atoms and distances in Å follow each position.
Fractional positions:
Ac 0.0098 0.0098 0.2168  2 Pd 3.02
Ac 0.2248 0.2248 0.3289  2 Au 3.22
Ac 0.3427 0.3427 0.0094  1 Pd 3.14, 2 Au 3.24
Ac 0.4070 0.4070 0.4794  2 Au 3.30
Ac 0.5930 0.5930 0.5206  2 Au 3.30
Ac 0.6573 0.6573 0.9906  1 Pd 3.14, 2 Au 3.24
Ac 0.7752 0.7752 0.6711  2 Au 3.22
Ac 0.9902 0.9902 0.7832  2 Pd 3.02
Pd 0.5000 0.5000 0.0000  6 Ac 3.02-3.14
Au 0.1608 0.1608 0.7444  7 Ac 3.22-3.45
Au 0.8392 0.8392 0.2556  7 Ac 3.22-3.45

Results
Excess energy over the best structure of this formula in the dataset ... 0.000 eV/f.u.
SG ... C2/m, No. 12
Formation energy ... -0.410 eV per atom
Electronic total energy ... -4.47 eV per atom

First-principles (PBE) data for a geometry-optimized Ac2Pd3Au4 structure, as listed in Alexandria.

a = 8.4962 Å, b = 8.4962 Å, c = 8.4222 Å
α = 90.00°, β = 90.00°, γ = 138.92°
Closest atoms and distances in Å follow each position.
Fractional positions:
Ac 0.1202 0.8798 0.9194  2 Pd 3.13, 8 Au 3.16-3.49
Ac 0.3798 0.6202 0.4194  2 Pd 3.13, 8 Au 3.16-3.49
Ac 0.6202 0.3798 0.5806  2 Pd 3.13, 8 Au 3.16-3.49
Ac 0.8798 0.1202 0.0806  2 Pd 3.13, 8 Au 3.16-3.49
Pd 0.0000 0.0000 0.5000  6 Au 2.71-2.84
Pd 0.0184 0.4816 0.7500  5 Au 2.83-2.85, 2 Pd 2.98, 2 Ac 3.13
Pd 0.4816 0.0184 0.2500  5 Au 2.83-2.85, 2 Pd 2.98, 2 Ac 3.13
Pd 0.5000 0.5000 0.0000  6 Au 2.71-2.84
Pd 0.5184 0.9816 0.7500  5 Au 2.83-2.85, 2 Pd 2.98, 2 Ac 3.13
Pd 0.9816 0.5184 0.2500  5 Au 2.83-2.85, 2 Pd 2.98, 2 Ac 3.13
Au 0.1782 0.8218 0.5201  5 Pd 2.83-2.85, 2 Ac 3.16
Au 0.1976 0.3024 0.7500  3 Pd 2.71-2.85, 2 Au 2.98
Au 0.3024 0.1976 0.2500  3 Pd 2.71-2.85, 2 Au 2.98
Au 0.3218 0.6782 0.0201  5 Pd 2.83-2.85, 2 Ac 3.16
Au 0.6782 0.3218 0.9799  5 Pd 2.83-2.85, 2 Ac 3.16
Au 0.6976 0.8024 0.7500  3 Pd 2.71-2.85, 2 Au 2.98
Au 0.8024 0.6976 0.2500  3 Pd 2.71-2.85, 2 Au 2.98
Au 0.8218 0.1782 0.4799  5 Pd 2.83-2.85, 2 Ac 3.16

Results
Excess energy over the best structure of this formula in the dataset ... 0.719 eV/f.u.
SG ... Cmce, No. 64
Formation energy ... -0.640 eV per atom
Electronic total energy ... -4.74 eV per atom

First-principles (PBE) data for a geometry-optimized Ac2PdAu structure, as listed in Alexandria.

a = 9.6270 Å, b = 9.6270 Å, c = 9.6270 Å
α = 26.10°, β = 26.10°, γ = 26.10°
Closest atoms and distances in Å follow each position.
Fractional positions:
Ac 0.0995 0.0995 0.0995  1 Pd 2.77
Ac 0.9005 0.9005 0.9005  1 Pd 2.77
Pd 0.0000 0.0000 0.0000  2 Ac 2.77
Au 0.5000 0.5000 0.5000  6 Ac 3.13

Results
SG ... R-3m, No. 166
Formation energy ... -0.136 eV per atom
Electronic total energy ... -4.31 eV per atom

Which formula does entry 4 have? Ac2PdAu